Record 1
Entry from the Open Quantum Materials Database: PuMgS2Br after structural relaxation (GGA-PBE).

a b c (Å): 6.542 6.542 9.208
angles (deg): 91.77 91.77 34.85
Last column: magnetic moment on the atom in μB.
Sites, in units of the cell vectors:
Br 0.356 0.356 0.063  -0.02
Br 0.644 0.644 0.937  -0.02
Mg 0.000 0.000 0.000  0.00
Mg 0.000 0.000 0.500  0.00
Pu 0.733 0.733 0.296  5.09
Pu 0.267 0.267 0.704  5.09
S 0.081 0.081 0.251  -0.08
S 0.359 0.359 0.436  -0.10
S 0.641 0.641 0.564  -0.10
S 0.919 0.919 0.749  -0.08

Summary:
E_tot: -6.633 eV per atom

Record 2
Entry from the Open Quantum Materials Database: MoBr2 after structural relaxation (GGA-PBE).

a b c (Å): 6.265 6.265 3.755
angles (deg): 90.00 90.00 90.00
Last column: magnetic moment on the atom in μB.
Sites, in units of the cell vectors:
Br 0.295 0.295 0.000  0.04
Br 0.705 0.705 0.000  0.04
Br 0.795 0.205 0.500  0.04
Br 0.205 0.795 0.500  0.04
Mo 0.000 0.000 0.000  1.61
Mo 0.500 0.500 0.500  1.62

Summary:
E_tot: -4.651 eV per atom

Record 3
Entry from the Open Quantum Materials Database: MoBr2 after structural relaxation (GGA-PBE).

a b c (Å): 7.621 7.621 7.621
angles (deg): 24.89 24.89 24.89
Last column: magnetic moment on the atom in μB.
Sites, in units of the cell vectors:
Br 0.581 0.581 0.581  0.04
Br 0.752 0.752 0.752  0.04
Mo 0.000 0.000 0.000  0.74

Summary:
E_tot: -4.584 eV per atom

Record 4
Entry from the Open Quantum Materials Database: MoBr2 after structural relaxation (GGA-PBE).

a b c (Å): 7.899 7.899 7.899
angles (deg): 60.00 60.00 60.00
Last column: magnetic moment on the atom in μB.
Sites, in units of the cell vectors:
Br 0.375 0.375 0.375  0.01
Br 0.875 0.375 0.375  0.03
Br 0.375 0.875 0.375  0.00
Br 0.375 0.375 0.875  0.01
Mo 0.250 0.250 0.250  0.38
Mo 0.500 0.500 0.500  0.38

Summary:
E_tot: -4.285 eV per atom